16
Lattice="-6.100 6.100 2.973 6.100 -6.100 2.973 6.100 6.100 -2.973" Properties=species:S:1:pos:R:3 comment="Pu5Sb3, relaxed, DFT PBE-GGA" spacegroup="I4/mcm, No. 140" e_above_lowest_polymorph_mev_per_atom=0.0 formation_energy_uncorrected_mev_per_atom=-532 pbc="T T T"
Pu 9.490 1.004 0.000
Pu 1.004 2.709 0.000
Pu 6.100 0.000 1.486
Pu 7.103 3.390 0.000
Pu 3.390 5.096 0.000
Pu 2.709 1.004 2.973
Pu -1.004 2.709 2.973
Pu 0.000 6.100 1.486
Pu 5.096 3.390 2.973
Pu -3.390 5.096 2.973
Sb 4.123 1.976 0.000
Sb 0.000 0.000 1.486
Sb 4.123 -1.976 2.973
Sb 1.976 8.076 0.000
Sb 0.000 0.000 4.459
Sb 1.976 4.123 2.973

14
Lattice="5.298 -2.087 0.000 5.298 2.087 0.000 -4.943 0.000 12.626" Properties=species:S:1:pos:R:3 comment="Tb3FeSi3, relaxed, DFT PBE-GGA" spacegroup="C2/m, No. 12" formation_energy_uncorrected_mev_per_atom=-731 pbc="T T T"
Tb -1.619 0.000 4.793
Tb -3.474 0.000 11.603
Tb 1.508 0.000 2.899
Tb 4.144 0.000 9.727
Tb 9.127 0.000 1.022
Tb 7.272 0.000 7.833
Fe -0.196 0.000 7.370
Fe 5.848 0.000 5.256
Si 1.476 0.000 5.759
Si -0.460 0.000 11.673
Si 0.936 0.000 9.560
Si 4.717 0.000 3.066
Si 6.113 0.000 0.953
Si 4.177 0.000 6.867

18
Lattice="7.458 -1.848 0.000 7.458 1.848 0.000 -2.775 0.000 8.489" Properties=species:S:1:pos:R:3 comment="ScCo3Si2, relaxed, DFT PBE-GGA" spacegroup="C2/m, No. 12" formation_energy_uncorrected_mev_per_atom=-657 pbc="T T T"
Sc 0.000 0.000 0.000
Sc 0.448 0.000 5.977
Sc 11.694 0.000 2.511
Co -0.295 0.000 2.877
Co 2.087 0.000 3.341
Co 4.685 0.000 0.278
Co 3.442 0.000 6.819
Co 6.071 0.000 4.244
Co 8.699 0.000 1.670
Co 7.456 0.000 8.210
Co 10.054 0.000 5.148
Co 12.436 0.000 5.612
Si 2.556 0.000 1.105
Si 3.869 0.000 4.635
Si 6.303 0.000 1.869
Si 5.838 0.000 6.619
Si 8.272 0.000 3.854
Si 9.585 0.000 7.383

11
Lattice="7.458 -2.082 0.000 7.458 2.082 0.000 -1.736 0.000 5.524" Properties=species:S:1:pos:R:3 comment="Al2Pd8Se, relaxed, DFT PBE-GGA" spacegroup="C2/m, No. 12" formation_energy_uncorrected_mev_per_atom=-511 pbc="T T T"
Al 2.415 0.000 1.117
Al 10.765 0.000 4.408
Pd -0.052 0.000 1.447
Pd 1.633 0.000 4.390
Pd 4.074 0.000 3.003
Pd 5.918 0.000 0.258
Pd 7.262 0.000 5.267
Pd 9.106 0.000 2.522
Pd 11.547 0.000 1.134
Pd 13.232 0.000 4.077
Se 6.590 0.000 2.762

10
Lattice="6.473 0.000 0.000 0.000 8.995 0.000 0.000 0.000 6.710" Properties=species:S:1:pos:R:3 comment="Ac2TbPrEr, relaxed, DFT PBE-GGA" spacegroup="Pmma, No. 51" e_form_ev_per_atom=0.264 pbc="T T T"
Ac 1.618 1.828 1.436
Ac 1.618 7.167 1.436
Ac 4.855 1.828 5.274
Ac 4.855 7.167 5.274
Tb 1.618 0.000 4.606
Tb 4.855 0.000 2.104
Pr 1.618 4.497 6.172
Pr 4.855 4.497 0.539
Er 0.000 4.497 3.355
Er 3.237 4.497 3.355

4
Lattice="-2.105 2.105 4.760 2.105 -2.105 4.760 2.105 2.105 -4.760" Properties=species:S:1:pos:R:3 comment="SrYOs2, relaxed, DFT PBE-GGA" spacegroup="I-4m2, No. 119" e_above_lowest_polymorph_mev_per_atom=737.2 e_form_ev_per_atom=0.877 pbc="T T T"
Sr 0.000 0.000 0.000
Y 2.105 0.000 2.380
Os 0.000 0.000 4.760
Os 0.000 2.105 2.380

5
Lattice="-2.329 2.329 2.830 2.329 -2.329 2.830 2.329 2.329 -2.830" Properties=species:S:1:pos:R:3 comment="Ta2H2Ru, relaxed, DFT PBE-GGA" spacegroup="I4/mmm, No. 139" e_above_lowest_polymorph_mev_per_atom=220.6 pbc="T T T"
Ta 2.329 0.000 1.415
Ta 0.000 2.329 1.415
H 0.000 0.000 1.121
H 0.000 0.000 4.539
Ru 0.000 0.000 2.830

7
Lattice="2.640 1.524 8.540 -2.640 1.524 8.540 0.000 -3.048 8.540" Properties=species:S:1:pos:R:3 comment="Pr4ZnAg2, relaxed, DFT PBE-GGA" spacegroup="R-3m, No. 166" e_form_ev_per_atom=-0.122 pbc="T T T"
Pr 0.000 0.000 3.149
Pr 0.000 0.000 9.586
Pr 0.000 0.000 16.035
Pr 0.000 0.000 22.472
Zn 0.000 0.000 12.810
Ag 0.000 0.000 6.338
Ag 0.000 0.000 19.283

4
Lattice="3.217 0.000 0.000 0.000 3.217 0.000 0.000 0.000 5.485" Properties=species:S:1:pos:R:3 comment="LiTc2Se, relaxed, DFT PBE-GGA" spacegroup="P4/mmm, No. 123" formation_energy_uncorrected_mev_per_atom=359 pbc="T T T"
Li 0.000 0.000 0.000
Tc 1.608 1.608 1.195
Tc 1.608 1.608 4.290
Se 0.000 0.000 2.743

9
Lattice="10.052 -1.790 0.000 10.052 1.790 0.000 -1.407 0.000 8.699" Properties=species:S:1:pos:R:3 comment="Tb3Pr2Nd4, relaxed, DFT PBE-GGA" spacegroup="C2/m, No. 12" e_above_lowest_polymorph_mev_per_atom=20.5 e_form_ev_per_atom=0.076 pbc="T T T"
Tb 0.000 0.000 0.000
Tb 1.623 0.000 3.138
Tb 17.075 0.000 5.560
Pr 5.358 0.000 8.329
Pr 13.339 0.000 0.370
Nd 5.127 0.000 3.045
Nd 8.630 0.000 2.741
Nd 10.068 0.000 5.958
Nd 13.571 0.000 5.654

4
Lattice="-1.950 1.950 5.576 1.950 -1.950 5.576 1.950 1.950 -5.576" Properties=species:S:1:pos:R:3 comment="CrWBr2, relaxed, DFT PBE-GGA" spacegroup="I-4m2, No. 119" e_above_lowest_polymorph_mev_per_atom=981.5 formation_energy_uncorrected_mev_per_atom=1150 pbc="T T T"
Cr 0.000 0.000 0.000
W 1.950 0.000 2.788
Br 0.000 0.000 5.576
Br 0.000 1.950 2.788

11
Lattice="5.387 0.000 0.000 0.006 6.454 0.000 2.687 3.212 8.070" Properties=species:S:1:pos:R:3 comment="CaSm2Cd8, relaxed, DFT PBE-GGA" spacegroup="P-1, No. 2" e_form_ev_per_atom=-0.276 pbc="T T T"
Ca 0.000 0.000 0.000
Sm 2.695 6.443 5.012
Sm 5.385 3.223 3.058
Cd 2.691 3.216 4.827
Cd 4.031 6.441 8.067
Cd 2.693 1.485 2.106
Cd 2.696 4.960 2.107
Cd 5.384 4.706 5.963
Cd 5.387 8.181 5.963
Cd 4.049 3.224 0.002
Cd 5.389 6.450 3.242